# 1
Entry from the Alexandria database: TbY7Er2 after structural relaxation (GGA-PBE).

abc: 9.094 9.094 5.629
angles: 90.00 90.00 122.03
Fractional coordinates of all 10 atoms:
Tb (0.000, 0.000, 0.000)
Y (0.062, 0.293, 0.500)
Y (0.221, 0.779, 0.000)
Y (0.293, 0.062, 0.500)
Y (0.500, 0.500, 0.500)
Y (0.707, 0.938, 0.500)
Y (0.779, 0.221, 0.000)
Y (0.938, 0.707, 0.500)
Er (0.296, 0.704, 0.500)
Er (0.704, 0.296, 0.500)

Formation energy from the elements ... 67.5 kJ per mole of atoms
Space group ... Cmmm, No. 65

# 2
Entry from the Alexandria database: ZnCdSeO4 after structural relaxation (GGA-PBE).

abc: 6.415 6.415 6.415
angles: 122.49 113.74 93.46
Fractional coordinates of all 14 atoms:
Zn (0.500, 0.000, 0.000)
Zn (0.500, 0.500, 0.500)
Cd (0.000, 0.000, 0.000)
Cd (0.500, 0.000, 0.500)
Se (0.086, 0.336, 0.750)
Se (0.914, 0.664, 0.250)
O (0.208, 0.240, 0.532)
O (0.208, 0.675, 0.968)
O (0.297, 0.241, 0.056)
O (0.315, 0.759, 0.556)
O (0.685, 0.241, 0.444)
O (0.703, 0.759, 0.944)
O (0.792, 0.325, 0.032)
O (0.792, 0.760, 0.468)

Formation energy without anion corrections ... -20.96 kcal/mol of atoms
Space group ... Imma, No. 74

# 3
Entry from the Alexandria database: Zr2Sc2Zn after structural relaxation (GGA-PBE).

abc: 7.250 7.250 4.271
angles: 90.00 90.00 90.00
Fractional coordinates of all 10 atoms:
Zr (0.149, 0.351, 0.000)
Zr (0.351, 0.851, 0.000)
Zr (0.649, 0.149, 0.000)
Zr (0.851, 0.649, 0.000)
Sc (0.149, 0.649, 0.500)
Sc (0.351, 0.149, 0.500)
Sc (0.649, 0.851, 0.500)
Sc (0.851, 0.351, 0.500)
Zn (0.000, 0.000, 0.500)
Zn (0.500, 0.500, 0.500)

Formation energy from the elements ... 12.2 kJ per mole of atoms
Space group ... P4/mbm, No. 127

# 4
Entry from the Alexandria database: DyPd2Au after structural relaxation (GGA-PBE).

abc: 4.237 4.237 4.051
angles: 90.00 90.00 90.00
Fractional coordinates of all 4 atoms:
Dy (0.000, 0.000, 0.000)
Pd (0.000, 0.500, 0.500)
Pd (0.500, 0.000, 0.500)
Au (0.500, 0.500, 0.000)

Formation energy from the elements ... -82.3 kJ per mole of atoms
Space group ... P4/mmm, No. 123

Values for raw total energy, eV/cell, ordered as above
-52.008 -63.737 -60.800 -21.679
Values for theoretical density, g/cm3, ordered as above
4.69 5.60 5.00 13.07